1.
First-principles (PBE) data for a relaxed structure of Pr6Si2S3I, as listed in Alexandria.

Cell and atoms, written as POSCAR:
```
Pr6Si2S3I
1.0
9.236 -2.113 0.000
9.236 2.113 0.000
-1.795 0.000 8.438
Pr Si S I
6 2 3 1
direct
0.005 0.005 0.287
0.320 0.320 0.899
0.333 0.333 0.416
0.667 0.667 0.584
0.680 0.680 0.101
0.995 0.995 0.713
0.167 0.167 0.334
0.833 0.833 0.666
0.161 0.161 0.837
0.500 0.500 0.500
0.839 0.839 0.163
0.500 0.500 0.000
```

* space group: C2/m, No. 12
* formation energy (no corrections): -1.41 eV/atom



2.
First-principles (PBE) data for a relaxed structure of PrSmSI, as listed in Alexandria.

Cell and atoms, written as POSCAR:
```
PrSmSI
1.0
3.506 -2.026 0.000
3.506 2.026 0.000
-2.330 0.000 7.922
Pr Sm S I
1 1 1 1
direct
0.000 0.000 0.000
0.796 0.796 0.389
0.400 0.400 0.201
0.228 0.228 0.684
```

* space group: Cm, No. 8
* formation energy (no corrections): -1.44 eV/atom



3.
First-principles (PBE) data for a relaxed structure of TbPrSI, as listed in Alexandria.

Cell and atoms, written as POSCAR:
```
TbPrSI
1.0
3.475 -2.008 0.000
3.475 2.008 0.000
-2.308 0.000 7.867
Tb Pr S I
1 1 1 1
direct
0.000 0.000 0.000
0.205 0.205 0.614
0.607 0.607 0.821
0.430 0.430 0.290
```

* space group: Cm, No. 8
* formation energy (no corrections): -1.41 eV/atom



4.
First-principles (PBE) data for a relaxed structure of Pr6ZnS2I3, as listed in Alexandria.

Cell and atoms, written as POSCAR:
```
Pr6ZnS2I3
1.0
3.624 -6.277 0.000
3.624 6.277 0.000
-2.410 0.000 7.961
Pr Zn S I
6 1 2 3
direct
0.092 0.434 0.804
0.221 0.221 0.194
0.434 0.092 0.804
0.566 0.908 0.196
0.779 0.779 0.806
0.908 0.566 0.196
0.500 0.500 0.000
0.167 0.833 0.000
0.833 0.167 0.000
0.000 0.000 0.500
0.337 0.663 0.500
0.663 0.337 0.500
```

* space group: C2/m, No. 12
* formation energy (no corrections): -1.21 eV/atom



Respective total magnetic moment values: 0.00, 0.00, 0.00, 0.00 μB per formula unit.